Entry from Alexandria via LeMat-Bulk: a relaxed Y8ErSc2 crystal (GGA-PBE).

Output
VASP energy   -6.076 eV per atom
Space group   C2/m
Magnetic moment   0.00 μB/atom
Formation enthalpy at 0 K   0.19 eV/atom
Energy relative to the lowest polymorph listed for this composition   0.015 eV per atom
Mass density   4.7 Mg/m³

abc: 6.354 9.271 9.271
angles: 42.37 70.93 70.93
Element x y z (fractional)
Y (0.296, 0.344, 0.861)
Y (0.704, 0.139, 0.656)
Y (0.320, 0.791, 0.791)
Y (0.680, 0.209, 0.209)
Y (0.296, 0.861, 0.344)
Y (0.704, 0.656, 0.139)
Y (0.758, 0.568, 0.568)
Y (0.242, 0.432, 0.432)
Er (0.000, 0.000, 0.000)
Sc (0.892, 0.725, 0.725)
Sc (0.108, 0.275, 0.275)